A plane-wave DFT calculation with PBE was carried out for BaHgN2F after structural relaxation.

As for the magnetic moment: 0.360 μB per atom. As for the space-group type: P4/mmm (123). The calculation puts the theoretical density at 7.1 g/cm3. The energy above the most stable polymorph in this dataset is 0 meV per atom. The density of states at the Fermi level is 0.70 states/eV per atom.

```
BaHgN2F
1.0
4.227 0.000 0.000
0.000 4.227 0.000
0.000 0.000 5.061
Ba Hg N F
1 1 2 1
Cartesian
0.000 0.000 0.000
2.113 2.113 2.530
0.000 2.113 2.530
2.113 0.000 2.530
2.113 2.113 0.000
```